Entry 1:
! LaHoMgCd (PBE-GGA, relaxed); values from VASP
&SYSTEM
  ibrav = 0, nat = 16, ntyp = 4
/
ATOMIC_SPECIES
La 138.91 La.upf
Ho 164.93 Ho.upf
Mg 24.30 Mg.upf
Cd 112.41 Cd.upf
ATOMIC_POSITIONS crystal
La 0.000 0.000 0.000
La 0.000 0.500 0.500
La 0.500 0.000 0.500
La 0.500 0.500 0.000
Ho 0.000 0.000 0.500
Ho 0.000 0.500 0.000
Ho 0.500 0.000 0.000
Ho 0.500 0.500 0.500
Mg 0.250 0.250 0.250
Mg 0.250 0.750 0.750
Mg 0.750 0.250 0.750
Mg 0.750 0.750 0.250
Cd 0.250 0.250 0.750
Cd 0.250 0.750 0.250
Cd 0.750 0.250 0.250
Cd 0.750 0.750 0.750
CELL_PARAMETERS angstrom
7.701 0.000 0.000
0.000 7.701 0.000
0.000 0.000 7.701
! * magnetization: 0.000 μB/atom
! * formation enthalpy at 0 K: -0.1970 eV per atom
! * E_tot: -3.20 eV/atom
! * energy relative to the lowest polymorph listed for this composition: 5 meV/atom
! * calculated volume: 456.6 Å³/cell


Entry 2:
! LaHoMnCd (PBE-GGA, relaxed); values from VASP
&SYSTEM
  ibrav = 0, nat = 16, ntyp = 4
/
ATOMIC_SPECIES
La 138.91 La.upf
Ho 164.93 Ho.upf
Mn 54.94 Mn.upf
Cd 112.41 Cd.upf
ATOMIC_POSITIONS crystal
La 0.000 0.000 0.000
La 0.000 0.500 0.500
La 0.500 0.000 0.500
La 0.500 0.500 0.000
Ho 0.000 0.000 0.500
Ho 0.000 0.500 0.000
Ho 0.500 0.000 0.000
Ho 0.500 0.500 0.500
Mn 0.250 0.250 0.750
Mn 0.250 0.750 0.250
Mn 0.750 0.250 0.250
Mn 0.750 0.750 0.750
Cd 0.250 0.250 0.250
Cd 0.250 0.750 0.750
Cd 0.750 0.250 0.750
Cd 0.750 0.750 0.250
CELL_PARAMETERS angstrom
7.482 0.000 0.000
0.000 7.482 0.000
0.000 0.000 7.482
! * magnetization: 0.786 μB/atom
! * formation enthalpy at 0 K: 0.0103 eV per atom
! * E_tot: -4.89 eV/atom
! * calculated volume: 418.9 Å³/cell


Entry 3:
! La5NdHoCd2 (PBE-GGA, relaxed); values from VASP
&SYSTEM
  ibrav = 0, nat = 18, ntyp = 4
/
ATOMIC_SPECIES
La 138.91 La.upf
Nd 144.24 Nd.upf
Ho 164.93 Ho.upf
Cd 112.41 Cd.upf
ATOMIC_POSITIONS crystal
La 0.000 0.000 0.000
La 0.069 0.569 0.903
La 0.167 0.069 0.500
La 0.333 0.833 0.903
La 0.431 0.333 0.500
La 0.500 0.500 0.000
La 0.569 0.667 0.500
La 0.667 0.167 0.097
La 0.833 0.931 0.500
La 0.931 0.431 0.097
Nd 0.250 0.750 0.500
Nd 0.750 0.250 0.500
Ho 0.250 0.250 0.000
Ho 0.750 0.750 0.000
Cd 0.107 0.393 0.500
Cd 0.393 0.893 0.285
Cd 0.607 0.107 0.715
Cd 0.893 0.607 0.500
CELL_PARAMETERS angstrom
-4.463 4.463 7.530
4.463 -4.463 7.530
4.463 4.463 -7.530
! * magnetization: 0.000 μB/atom
! * formation enthalpy at 0 K: 0.0180 eV per atom
! * E_tot: -3.96 eV/atom
! * calculated volume: 600.0 Å³/cell


Entry 4:
! LaHoCdOs (PBE-GGA, relaxed); values from VASP
&SYSTEM
  ibrav = 0, nat = 16, ntyp = 4
/
ATOMIC_SPECIES
La 138.91 La.upf
Ho 164.93 Ho.upf
Cd 112.41 Cd.upf
Os 190.23 Os.upf
ATOMIC_POSITIONS crystal
La 0.000 0.000 0.000
La 0.000 0.500 0.500
La 0.500 0.000 0.500
La 0.500 0.500 0.000
Ho 0.000 0.000 0.500
Ho 0.000 0.500 0.000
Ho 0.500 0.000 0.000
Ho 0.500 0.500 0.500
Cd 0.250 0.250 0.750
Cd 0.250 0.750 0.250
Cd 0.750 0.250 0.250
Cd 0.750 0.750 0.750
Os 0.250 0.250 0.250
Os 0.250 0.750 0.750
Os 0.750 0.250 0.750
Os 0.750 0.750 0.250
CELL_PARAMETERS angstrom
7.263 0.000 0.000
0.000 7.263 0.000
0.000 0.000 7.263
! * magnetization: 0.000 μB/atom
! * formation enthalpy at 0 K: -0.1115 eV per atom
! * E_tot: -5.52 eV/atom
! * calculated volume: 383.1 Å³/cell


Question: The highest E_tot belongs to which entry?
Answer: LaHoMgCd